No. 1
Computed, not measured: a geometry-optimized CrIn structure at the PBE-GGA level of DFT.

Summary:
Its total magnetic moment is 1.93 μB/atom. As for the formation energy: 0.4937 eV per atom.

Cell lengths 5.4385, 5.4385, 5.4385 Å; angles 135.35, 135.35, 64.99 degrees
Fractional positions:
Cr: 0.3750 0.6250 0.7500
Cr: 0.6250 0.3750 0.2500
In: 0.1250 0.8750 0.2500
In: 0.8750 0.1250 0.7500

***

No. 2
Computed, not measured: a geometry-optimized Zr3Nb2Sb4 structure at the PBE-GGA level of DFT.

Summary:
Its total magnetic moment is 0.00 μB/atom. The value obtained for the raw formation energy is -2.6 eV/f.u.

Cell lengths 5.0046, 5.0046, 9.2198 Å; angles 94.71, 94.71, 58.77 degrees
Fractional positions:
Zr: 0.0000 0.0000 0.0000
Zr: 0.3711 0.3711 0.2243
Zr: 0.6289 0.6289 0.7757
Nb: 0.3138 0.3138 0.5561
Nb: 0.6862 0.6862 0.4439
Sb: 0.0379 0.0379 0.3428
Sb: 0.3151 0.3151 0.8797
Sb: 0.6849 0.6849 0.1203
Sb: 0.9621 0.9621 0.6572

***

No. 3
Computed, not measured: a geometry-optimized Ti6In5Sn structure at the PBE-GGA level of DFT.

Summary:
Its total magnetic moment is 0.00 μB/atom. As for the formation energy: -0.0228 eV per atom.

Cell lengths 6.6933, 6.6933, 5.4582 Å; angles 96.93, 96.93, 86.94 degrees
Fractional positions:
Ti: 0.0835 0.4138 0.7604
Ti: 0.2489 0.2489 0.2452
Ti: 0.4138 0.0835 0.7604
Ti: 0.5862 0.9165 0.2396
Ti: 0.7511 0.7511 0.7548
Ti: 0.9165 0.5862 0.2396
In: 0.1683 0.8317 0.0000
In: 0.3347 0.6653 0.5000
In: 0.5000 0.5000 0.0000
In: 0.6653 0.3347 0.5000
In: 0.8317 0.1683 0.0000
Sn: 0.0000 0.0000 0.5000